# 1
This record from Alexandria via LeMat-Bulk describes an optimized crystal structure of Ti2GeF2. The functional is PBE.

abc: 7.1100 7.1100 2.6835
angles: 90.00 90.00 90.00
Atoms (fractional coordinates):
Ti 0.2208 0.2792 0.0000
Ti 0.2792 0.7792 0.0000
Ti 0.7208 0.2208 0.0000
Ti 0.7792 0.7208 0.0000
Ge 0.0000 0.0000 0.5000
Ge 0.5000 0.5000 0.5000
F 0.1130 0.6130 0.5000
F 0.3870 0.1130 0.5000
F 0.6130 0.8870 0.5000
F 0.8870 0.3870 0.5000

Output
volume = 13.57 A^3/atom
crystal system = tetragonal
E = -6.121 eV per atom


# 2
This record from Alexandria via LeMat-Bulk describes an optimized crystal structure of Ti2GeF2. The functional is PBE.

abc: 4.9614 4.9614 4.9614
angles: 131.24 131.24 71.44
Atoms (fractional coordinates):
Ti 0.2500 0.7500 0.5000
Ti 0.7500 0.2500 0.5000
Ge 0.0000 0.0000 0.0000
F 0.3472 0.3472 0.0000
F 0.6528 0.6528 0.0000

Output
volume = 13.52 A^3/atom
crystal system = tetragonal
E = -6.208 eV per atom